Arrangement A

A relaxed structure of CaHf3Pb, computed with PBE.

Results
magnetic moment = 0.00 Bohr magnetons per cell

Cell: 5.125 5.125 5.125 Å, 90.00 90.00 90.00°
Space group Pm-3m (No. 221)
Inequivalent atoms, fractional coordinates:
Ca1 0.000 0.000 0.000 (multiplicity 1)
Hf1 0.000 0.000 0.500 (multiplicity 3)
Pb1 0.500 0.500 0.500 (multiplicity 1)



Arrangement B

A relaxed structure of CaHf3Pb, computed with PBE.

Results
magnetic moment = 0.00 Bohr magnetons per cell

Cell: 5.434 5.434 5.434 Å, 90.00 90.00 90.00°
Space group Pm-3m (No. 221)
Inequivalent atoms, fractional coordinates:
Ca1 0.000 0.000 0.000 (multiplicity 1)
Hf1 0.000 0.500 0.500 (multiplicity 3)
Pb1 0.500 0.500 0.500 (multiplicity 1)



Which of them is most stable? Easy: arrangement B.



Arrangement A

A relaxed structure of CaHf2Pt, computed with PBE.

Results
magnetic moment = 0.00 Bohr magnetons per cell

Cell: 8.150 8.150 5.977 Å, 90.00 90.00 90.00°
Space group I-42d (No. 122)
Inequivalent atoms, fractional coordinates:
Ca1 0.000 0.000 0.000 (multiplicity 4)
Hf1 0.182 0.750 0.625 (multiplicity 8)
Pt1 0.000 0.000 0.500 (multiplicity 4)



Arrangement B

A relaxed structure of CaHf2Pt, computed with PBE.

Results
magnetic moment = 0.00 Bohr magnetons per cell

Cell: 6.877 6.877 6.877 Å, 90.00 90.00 90.00°
Space group Fm-3m (No. 225)
Inequivalent atoms, fractional coordinates:
Ca1 0.000 0.000 0.000 (multiplicity 4)
Hf1 0.250 0.250 0.250 (multiplicity 8)
Pt1 0.000 0.000 0.500 (multiplicity 4)



Which of them is most stable? Easy: arrangement A.



Arrangement A

A relaxed structure of CaHf2Pt2, computed with PBE.

Results
magnetic moment = 0.00 Bohr magnetons per cell

Cell: 4.592 4.592 10.872 Å, 90.00 90.00 90.00°
Space group I4/mmm (No. 139)
Inequivalent atoms, fractional coordinates:
Ca1 0.000 0.000 0.000 (multiplicity 2)
Hf1 0.000 0.500 0.250 (multiplicity 4)
Pt1 0.000 0.000 0.377 (multiplicity 4)



Arrangement B

A relaxed structure of CaHf2Pt2, computed with PBE.

Results
magnetic moment = 0.00 Bohr magnetons per cell

Cell: 7.909 7.909 3.319 Å, 90.00 90.00 90.00°
Space group P4/mbm (No. 127)
Inequivalent atoms, fractional coordinates:
Ca1 0.000 0.000 0.000 (multiplicity 2)
Hf1 0.157 0.343 0.500 (multiplicity 4)
Pt1 0.134 0.634 0.000 (multiplicity 4)



Which of them is most stable? Easy: arrangement A.



Arrangement A

A relaxed structure of RbCa2Hf, computed with PBE.

Results
magnetic moment = 6.09 Bohr magnetons per cell

Cell: 5.198 5.198 24.591 Å, 90.00 90.00 90.00°
Space group I-42d (No. 122)
Inequivalent atoms, fractional coordinates:
Rb1 0.000 0.000 0.000 (multiplicity 4)
Ca1 0.226 0.250 0.625 (multiplicity 8)
Hf1 0.000 0.000 0.500 (multiplicity 4)



Arrangement B

A relaxed structure of RbCa2Hf, computed with PBE.

Results
magnetic moment = 4.12 Bohr magnetons per cell

Cell: 8.495 8.495 8.495 Å, 90.00 90.00 90.00°
Space group Fm-3m (No. 225)
Inequivalent atoms, fractional coordinates:
Rb1 0.000 0.000 0.000 (multiplicity 4)
Ca1 0.250 0.250 0.250 (multiplicity 8)
Hf1 0.000 0.000 0.500 (multiplicity 4)



Which of them is most stable? Easy: arrangement B.



Arrangement A

A relaxed structure of RbCaHf3, computed with PBE.

Results
magnetic moment = 1.68 Bohr magnetons per cell

Cell: 5.208 5.208 5.208 Å, 90.00 90.00 90.00°
Space group Pm-3m (No. 221)
Inequivalent atoms, fractional coordinates:
Rb1 0.000 0.000 0.000 (multiplicity 1)
Ca1 0.500 0.500 0.500 (multiplicity 1)
Hf1 0.000 0.000 0.500 (multiplicity 3)



Arrangement B

A relaxed structure of RbCaHf3, computed with PBE.

Results
magnetic moment = 1.06 Bohr magnetons per cell

Cell: 5.472 5.472 5.472 Å, 90.00 90.00 90.00°
Space group Pm-3m (No. 221)
Inequivalent atoms, fractional coordinates:
Rb1 0.000 0.000 0.000 (multiplicity 1)
Ca1 0.500 0.500 0.500 (multiplicity 1)
Hf1 0.000 0.500 0.500 (multiplicity 3)



Which of them is most stable? Easy: arrangement B.



Arrangement A

A relaxed structure of CaHf2Re, computed with PBE.

Results
magnetic moment = 0.00 Bohr magnetons per cell

Cell: 5.526 5.526 17.218 Å, 90.00 90.00 90.00°
Space group I4_1/amd (No. 141, origin choice 2)
Inequivalent atoms, fractional coordinates:
Ca1 0.000 0.250 0.375 (multiplicity 4)
Hf1 0.000 0.000 0.000 (multiplicity 8)
Re1 0.000 0.250 0.875 (multiplicity 4)



Arrangement B

A relaxed structure of CaHf2Re, computed with PBE.

Results
magnetic moment = 0.00 Bohr magnetons per cell

Cell: 6.901 6.901 6.901 Å, 90.00 90.00 90.00°
Space group Fm-3m (No. 225)
Inequivalent atoms, fractional coordinates:
Ca1 0.000 0.000 0.000 (multiplicity 4)
Hf1 0.250 0.250 0.250 (multiplicity 8)
Re1 0.000 0.000 0.500 (multiplicity 4)



Which of them is most stable? Easy: arrangement B.



Arrangement A

A relaxed structure of CaHfRe2, computed with PBE.

Results
magnetic moment = 0.00 Bohr magnetons per cell

Cell: 6.676 6.676 6.676 Å, 90.00 90.00 90.00°
Space group Fm-3m (No. 225)
Inequivalent atoms, fractional coordinates:
Ca1 0.000 0.000 0.000 (multiplicity 4)
Hf1 0.000 0.000 0.500 (multiplicity 4)
Re1 0.250 0.250 0.250 (multiplicity 8)



Arrangement B

A relaxed structure of CaHfRe2, computed with PBE.

Results
magnetic moment = 0.00 Bohr magnetons per cell

Cell: 7.640 7.640 5.553 Å, 90.00 90.00 90.00°
Space group I-42d (No. 122)
Inequivalent atoms, fractional coordinates:
Ca1 0.000 0.000 0.000 (multiplicity 4)
Hf1 0.000 0.000 0.500 (multiplicity 4)
Re1 0.230 0.750 0.625 (multiplicity 8)



Which of them is most stable? Easy: arrangement A.



Arrangement A

A relaxed structure of CaHf2Rh2, computed with PBE.

Results
magnetic moment = 0.00 Bohr magnetons per cell

Cell: 4.315 4.315 12.486 Å, 90.00 90.00 90.00°
Space group I4/mmm (No. 139)
Inequivalent atoms, fractional coordinates:
Ca1 0.000 0.000 0.000 (multiplicity 2)
Hf1 0.000 0.000 0.366 (multiplicity 4)
Rh1 0.000 0.500 0.250 (multiplicity 4)



Arrangement B

A relaxed structure of CaHf2Rh2, computed with PBE.

Results
magnetic moment = 0.00 Bohr magnetons per cell

Cell: 4.425 4.425 11.337 Å, 90.00 90.00 90.00°
Space group I4/mmm (No. 139)
Inequivalent atoms, fractional coordinates:
Ca1 0.000 0.000 0.000 (multiplicity 2)
Hf1 0.000 0.500 0.250 (multiplicity 4)
Rh1 0.000 0.000 0.382 (multiplicity 4)



Which of them is most stable? Easy: arrangement B.



Arrangement A

A relaxed structure of CaHf2Rh2, computed with PBE.

Results
magnetic moment = 0.00 Bohr magnetons per cell

Cell: 7.975 7.975 3.161 Å, 90.00 90.00 90.00°
Space group P4/mbm (No. 127)
Inequivalent atoms, fractional coordinates:
Ca1 0.000 0.000 0.000 (multiplicity 2)
Hf1 0.147 0.353 0.500 (multiplicity 4)
Rh1 0.141 0.641 0.000 (multiplicity 4)



Arrangement B

A relaxed structure of CaHf2Rh2, computed with PBE.

Results
magnetic moment = 0.00 Bohr magnetons per cell

Cell: 8.044 8.044 3.046 Å, 90.00 90.00 90.00°
Space group P4/mbm (No. 127)
Inequivalent atoms, fractional coordinates:
Ca1 0.000 0.000 0.000 (multiplicity 2)
Hf1 0.142 0.358 0.000 (multiplicity 4)
Rh1 0.151 0.651 0.500 (multiplicity 4)



Which of them is most stable? Easy: arrangement A.



Arrangement A

A relaxed structure of CaHf2Rh, computed with PBE.

Results
magnetic moment = 0.00 Bohr magnetons per cell

Cell: 6.863 6.863 6.863 Å, 90.00 90.00 90.00°
Space group Fm-3m (No. 225)
Inequivalent atoms, fractional coordinates:
Ca1 0.000 0.000 0.000 (multiplicity 4)
Hf1 0.250 0.250 0.250 (multiplicity 8)
Rh1 0.000 0.000 0.500 (multiplicity 4)



Arrangement B

A relaxed structure of CaHf2Rh, computed with PBE.

Results
magnetic moment = 0.00 Bohr magnetons per cell

Cell: 8.005 8.005 5.989 Å, 90.00 90.00 90.00°
Space group I-42d (No. 122)
Inequivalent atoms, fractional coordinates:
Ca1 0.000 0.000 0.000 (multiplicity 4)
Hf1 0.181 0.250 0.625 (multiplicity 8)
Rh1 0.000 0.000 0.500 (multiplicity 4)



Which of them is most stable? Easy: arrangement B.



Arrangement A

A relaxed structure of Ca2HfRh2, computed with PBE.

Results
magnetic moment = 0.00 Bohr magnetons per cell

Cell: 4.863 4.863 9.299 Å, 90.00 90.00 90.00°
Space group I4/mmm (No. 139)
Inequivalent atoms, fractional coordinates:
Ca1 0.000 0.000 0.145 (multiplicity 4)
Hf1 0.000 0.000 0.500 (multiplicity 2)
Rh1 0.000 0.500 0.250 (multiplicity 4)



Arrangement B

A relaxed structure of Ca2HfRh2, computed with PBE.

Results
magnetic moment = 0.00 Bohr magnetons per cell

Cell: 8.142 8.142 3.067 Å, 90.00 90.00 90.00°
Space group P4/mbm (No. 127)
Inequivalent atoms, fractional coordinates:
Ca1 0.125 0.375 0.000 (multiplicity 4)
Hf1 0.000 0.000 0.000 (multiplicity 2)
Rh1 0.181 0.681 0.500 (multiplicity 4)



Arrangement C

A relaxed structure of Ca2HfRh2, computed with PBE.

Results
magnetic moment = 0.00 Bohr magnetons per cell

Cell: 6.897 6.897 4.681 Å, 90.00 90.00 90.00°
Space group P4/mbm (No. 127)
Inequivalent atoms, fractional coordinates:
Ca1 0.172 0.328 0.000 (multiplicity 4)
Hf1 0.000 0.000 0.500 (multiplicity 2)
Rh1 0.135 0.635 0.500 (multiplicity 4)



Which of them is most stable? Easy: arrangement C.



Arrangement A

A relaxed structure of Ca2HfRu, computed with PBE.

Results
magnetic moment = 0.00 Bohr magnetons per cell

Cell: 10.501 10.501 4.873 Å, 90.00 90.00 90.00°
Space group I-42d (No. 122)
Inequivalent atoms, fractional coordinates:
Ca1 0.106 0.750 0.125 (multiplicity 8)
Hf1 0.000 0.000 0.500 (multiplicity 4)
Ru1 0.000 0.000 0.000 (multiplicity 4)



Arrangement B

A relaxed structure of Ca2HfRu, computed with PBE.

Results
magnetic moment = 0.00 Bohr magnetons per cell

Cell: 7.205 7.205 7.205 Å, 90.00 90.00 90.00°
Space group Fm-3m (No. 225)
Inequivalent atoms, fractional coordinates:
Ca1 0.250 0.250 0.250 (multiplicity 8)
Hf1 0.000 0.000 0.000 (multiplicity 4)
Ru1 0.000 0.000 0.500 (multiplicity 4)



Which of them is most stable? Easy: arrangement A.